{
  "formula": "NpNiAg2O6",
  "functional": "GGA+U",
  "state": "relaxed",
  "space_group": "R-3 (148)",
  "m_tot_mub_per_fu": 1.01,
  "dft_energy_ev_per_cell": -63.857,
  "lattice_angstrom": [[5.563, -0.021, -0.027], [-2.760, 4.827, 0.012], [-2.767, -1.596, 4.728]],
  "species": ["O", "O", "O", "O", "O", "O", "Ag", "Ag", "Np", "Ni"],
  "frac_coords": [[0.491, 0.152, 0.229], [0.900, 0.657, 0.730], [0.093, 0.338, 0.231], [0.502, 0.844, 0.732], [0.907, 0.753, 0.230], [0.086, 0.243, 0.730], [0.501, 0.750, 0.236], [0.492, 0.246, 0.724], [0.997, 0.998, 0.980], [0.997, 0.498, 0.480]]
}